[1]
Below is Tb2HoHf after structural relaxation, with properties calculated at the PBE-GGA level.

Lattice parameters (Å, degrees): 12.121 12.121 12.121 15.83 15.83 15.83
Atoms (fractional coordinates):
Tb 0.086 0.086 0.086
Tb 0.914 0.914 0.914
Ho 0.500 0.500 0.500
Hf 0.000 0.000 0.000

Properties
Volume = 116 Å³ per cell
Crystal system = trigonal



[2]
Below is Tb7Ho12Hf after structural relaxation, with properties calculated at the PBE-GGA level.

Lattice parameters (Å, degrees): 8.602 8.602 8.602 94.59 94.59 94.59
Atoms (fractional coordinates):
Tb 0.000 0.000 0.000
Tb 0.153 0.481 0.417
Tb 0.417 0.153 0.481
Tb 0.481 0.417 0.153
Tb 0.519 0.583 0.847
Tb 0.583 0.847 0.519
Tb 0.847 0.519 0.583
Ho 0.018 0.352 0.085
Ho 0.085 0.018 0.352
Ho 0.185 0.315 0.750
Ho 0.250 0.815 0.685
Ho 0.315 0.750 0.185
Ho 0.352 0.085 0.018
Ho 0.648 0.915 0.982
Ho 0.685 0.250 0.815
Ho 0.750 0.185 0.315
Ho 0.815 0.685 0.250
Ho 0.915 0.982 0.648
Ho 0.982 0.648 0.915
Hf 0.500 0.500 0.500

Properties
Volume = 630 Å³ per cell
Crystal system = trigonal



[3]
Below is Tb12Ho7Hf after structural relaxation, with properties calculated at the PBE-GGA level.

Lattice parameters (Å, degrees): 8.633 8.633 8.633 94.31 94.31 94.31
Atoms (fractional coordinates):
Tb 0.146 0.477 0.410
Tb 0.187 0.319 0.751
Tb 0.249 0.813 0.681
Tb 0.319 0.751 0.187
Tb 0.410 0.146 0.477
Tb 0.477 0.410 0.146
Tb 0.523 0.590 0.854
Tb 0.590 0.854 0.523
Tb 0.681 0.249 0.813
Tb 0.751 0.187 0.319
Tb 0.813 0.681 0.249
Tb 0.854 0.523 0.590
Ho 0.015 0.342 0.079
Ho 0.079 0.015 0.342
Ho 0.342 0.079 0.015
Ho 0.500 0.500 0.500
Ho 0.658 0.921 0.985
Ho 0.921 0.985 0.658
Ho 0.985 0.658 0.921
Hf 0.000 0.000 0.000

Properties
Volume = 638 Å³ per cell
Crystal system = trigonal



[4]
Below is Tb14HoHf after structural relaxation, with properties calculated at the PBE-GGA level.

Lattice parameters (Å, degrees): 7.060 7.060 9.960 90.00 90.00 90.00
Atoms (fractional coordinates):
Tb 0.000 0.000 0.000
Tb 0.000 0.500 0.000
Tb 0.000 0.500 0.500
Tb 0.245 0.245 0.256
Tb 0.245 0.245 0.744
Tb 0.245 0.755 0.256
Tb 0.245 0.755 0.744
Tb 0.500 0.000 0.000
Tb 0.500 0.000 0.500
Tb 0.500 0.500 0.000
Tb 0.755 0.245 0.256
Tb 0.755 0.245 0.744
Tb 0.755 0.755 0.256
Tb 0.755 0.755 0.744
Ho 0.500 0.500 0.500
Hf 0.000 0.000 0.500

Properties
Volume = 496 Å³ per cell
Crystal system = tetragonal



What did we get for D(E_F)? Answer: 6.30, 18.87, 19.82, 19.92 states/eV/f.u., in the order shown.
What did we get for DFT formation energy? Answer: 8.26, 6.93, 6.84, 1.11 kcal/mol of atoms, in the order shown.